This record from Alexandria describes an optimized crystal structure of SrP2Pt. The functional is GGA-PBEsol.

Cell: 6.197 6.197 7.114 Å, 90.00 90.00 143.76°
Sites, in units of the cell vectors:
Sr1 0.167 0.833 0.750
Sr2 0.833 0.167 0.250
P1 0.412 0.588 0.554
P2 0.412 0.588 0.946
P3 0.588 0.412 0.054
P4 0.588 0.412 0.446
Pt1 0.099 0.901 0.250
Pt2 0.901 0.099 0.750

Computed properties:
The value obtained for the energy is -48.2 eV for the cell shown. As for the symmetry: Cmcm, No. 63. Its crystal system is orthorhombic. The total magnetization is 0.0 μB/cell. The energy above the lowest structure with this stoichiometry is 0.000 eV per atom.

This record from Alexandria describes an optimized crystal structure of SrPPt. The functional is GGA-PBEsol.

Cell: 4.725 4.725 4.725 Å, 60.00 60.00 60.00°
Sites, in units of the cell vectors:
Sr1 0.000 0.000 0.000
P1 0.250 0.250 0.250
Pt1 0.750 0.750 0.750

Computed properties:
The value obtained for the energy is -13.4 eV for the cell shown. As for the symmetry: F-43m, No. 216. Its crystal system is cubic. The total magnetization is 0.0 μB/cell.

This record from Alexandria describes an optimized crystal structure of SrP2Pt. The functional is GGA-PBEsol.

Cell: 4.489 3.894 4.860 Å, 90.00 96.53 90.00°
Sites, in units of the cell vectors:
Sr1 0.000 0.000 0.000
P1 0.234 0.500 0.611
P2 0.766 0.500 0.389
Pt1 0.500 0.000 0.500

Computed properties:
The value obtained for the energy is -24.0 eV for the cell shown. As for the symmetry: P2/m, No. 10. Its crystal system is monoclinic. The total magnetization is 0.0 μB/cell. The energy above the lowest structure with this stoichiometry is 0.012 eV per atom.

This record from Alexandria describes an optimized crystal structure of SrPPt2. The functional is GGA-PBEsol.

Cell: 4.032 4.032 5.116 Å, 90.00 90.00 90.00°
Sites, in units of the cell vectors:
Sr1 0.000 0.000 0.000
P1 0.500 0.500 0.305
Pt1 0.000 0.500 0.524
Pt2 0.500 0.000 0.524

Computed properties:
The value obtained for the energy is -24.6 eV for the cell shown. As for the symmetry: P4mm, No. 99. Its crystal system is tetragonal. The total magnetization is 0.0 μB/cell.

This record from Alexandria describes an optimized crystal structure of SrP2Pt. The functional is GGA-PBEsol.

Cell: 5.436 5.436 4.609 Å, 101.06 101.06 43.39°
Sites, in units of the cell vectors:
Sr1 0.000 0.000 0.000
P1 0.585 0.585 0.518
P2 0.794 0.794 0.420
Pt1 0.228 0.228 0.595

Computed properties:
The value obtained for the energy is -22.8 eV for the cell shown. As for the symmetry: Cm, No. 8. Its crystal system is monoclinic. The total magnetization is 0.0 μB/cell. The energy above the lowest structure with this stoichiometry is 0.321 eV per atom.

This record from Alexandria describes an optimized crystal structure of SrPPt2. The functional is GGA-PBEsol.

Cell: 4.892 4.892 5.280 Å, 107.42 107.42 44.69°
Sites, in units of the cell vectors:
Sr1 0.000 0.000 0.000
P1 0.207 0.207 0.594
Pt1 0.515 0.515 0.489
Pt2 0.795 0.795 0.420

Computed properties:
The value obtained for the energy is -24.5 eV for the cell shown. As for the symmetry: Cm, No. 8. Its crystal system is monoclinic. The total magnetization is 0.0 μB/cell.

This record from Alexandria describes an optimized crystal structure of SrP2Pt6. The functional is GGA-PBEsol.

Cell: 8.460 8.460 8.460 Å, 90.00 90.00 90.00°
Sites, in units of the cell vectors:
Sr1 0.000 0.000 0.000
Sr2 0.000 0.500 0.500
Sr3 0.500 0.000 0.500
Sr4 0.500 0.500 0.000
P1 0.194 0.694 0.806
P2 0.194 0.806 0.306
P3 0.306 0.194 0.806
P4 0.306 0.306 0.306
P5 0.694 0.694 0.694
P6 0.694 0.806 0.194
P7 0.806 0.194 0.694
P8 0.806 0.306 0.194
Pt1 0.078 0.158 0.655
Pt2 0.078 0.342 0.155
Pt3 0.155 0.078 0.342
Pt4 0.155 0.422 0.842
Pt5 0.158 0.655 0.078
Pt6 0.158 0.845 0.578
Pt7 0.342 0.155 0.078
Pt8 0.342 0.345 0.578
Pt9 0.345 0.578 0.342
Pt10 0.345 0.922 0.842
Pt11 0.422 0.658 0.655
Pt12 0.422 0.842 0.155
Pt13 0.578 0.158 0.845
Pt14 0.578 0.342 0.345
Pt15 0.655 0.078 0.158
Pt16 0.655 0.422 0.658
Pt17 0.658 0.655 0.422
Pt18 0.658 0.845 0.922
Pt19 0.842 0.155 0.422
Pt20 0.842 0.345 0.922
Pt21 0.845 0.578 0.158
Pt22 0.845 0.922 0.658
Pt23 0.922 0.658 0.845
Pt24 0.922 0.842 0.345

Computed properties:
The value obtained for the energy is -245.1 eV for the cell shown. As for the symmetry: Pa-3, No. 205. Its crystal system is cubic. The total magnetization is 0.0 μB/cell.

This record from Alexandria describes an optimized crystal structure of SrP2Pt. The functional is GGA-PBEsol.

Cell: 4.443 4.200 4.649 Å, 90.00 94.98 90.00°
Sites, in units of the cell vectors:
Sr1 0.000 0.000 0.000
P1 0.538 0.000 0.453
P2 0.847 0.500 0.471
Pt1 0.350 0.500 0.609

Computed properties:
The value obtained for the energy is -23.1 eV for the cell shown. As for the symmetry: Pm, No. 6. Its crystal system is monoclinic. The total magnetization is 0.0 μB/cell. The energy above the lowest structure with this stoichiometry is 0.237 eV per atom.

This record from Alexandria describes an optimized crystal structure of SrPPt2. The functional is GGA-PBEsol.

Cell: 4.132 4.132 4.205 Å, 90.00 90.00 90.00°
Sites, in units of the cell vectors:
Sr1 0.000 0.000 0.000
P1 0.500 0.500 0.000
Pt1 0.000 0.500 0.500
Pt2 0.500 0.000 0.500

Computed properties:
The value obtained for the energy is -22.3 eV for the cell shown. As for the symmetry: P4/mmm, No. 123. Its crystal system is tetragonal. The total magnetization is 0.0 μB/cell.

This record from Alexandria describes an optimized crystal structure of SrP2Pt. The functional is GGA-PBEsol.

Cell: 4.020 4.020 6.525 Å, 90.00 90.00 119.56°
Sites, in units of the cell vectors:
Sr1 0.000 0.000 0.000
P1 0.500 0.500 0.319
P2 0.500 0.500 0.681
Pt1 0.000 0.000 0.500

Computed properties:
The value obtained for the energy is -21.9 eV for the cell shown. As for the symmetry: Cmmm, No. 65. Its crystal system is orthorhombic. The total magnetization is 0.0 μB/cell. The energy above the lowest structure with this stoichiometry is 0.555 eV per atom.

This record from Alexandria describes an optimized crystal structure of Ta2PPt. The functional is GGA-PBEsol.

Cell: 8.909 8.909 8.909 Å, 18.79 18.79 18.79°
Sites, in units of the cell vectors:
Ta1 0.000 0.000 0.000
Ta2 0.239 0.239 0.239
P1 0.743 0.743 0.743
Pt1 0.490 0.490 0.490

Computed properties:
The value obtained for the energy is -38.4 eV for the cell shown. As for the symmetry: R3m, No. 160. Its crystal system is trigonal. The total magnetization is 0.0 μB/cell.

This record from Alexandria describes an optimized crystal structure of TaPPt2. The functional is GGA-PBEsol.

Cell: 4.962 4.962 3.969 Å, 93.54 93.54 39.87°
Sites, in units of the cell vectors:
Ta1 0.000 0.000 0.000
P1 0.500 0.500 0.500
Pt1 0.277 0.277 0.759
Pt2 0.723 0.723 0.241

Computed properties:
The value obtained for the energy is -33.9 eV for the cell shown. As for the symmetry: C2/m, No. 12. Its crystal system is monoclinic. The total magnetization is 0.0 μB/cell.